6
Lattice="4.135 -2.404 0.000 4.135 2.404 0.000 -2.788 0.000 11.643" Properties=species:S:1:pos:R:3 comment="KLiBi | Alexandria via LeMat-Bulk | GGA-PBE | optimized geometry" e_above_lowest_polymorph_ev_per_atom=0.0546 vol_a3_per_cell=231.4 crystal_system=monoclinic density_g_cm3=3.7 spacegroup="C2/m, No. 12" dos_ef_per_ev_cell=3.25 dft_energy_ev_per_atom=-2.60 delta_e_f_mev_per_atom=-307 pbc="T T T"
K 1.399 0.000 2.038
K 4.085 0.000 9.604
Li 1.359 0.000 6.130
Li 4.125 0.000 5.512
Bi -1.412 0.000 7.329
Bi 6.895 0.000 4.314